No. 1
The following is a PBE calculation of an optimized crystal structure of NaSr3Pb2, from Alexandria via LeMat-Bulk.

## Properties
The density of states at the Fermi level is 3.6 states/eV/f.u. Its magnetization is 0.000 μB per formula unit. Its density is 5.31 Mg/m³. Its symmetry is No. 65. The formation energy is -398 meV per atom.

Lattice parameters (Å, degrees): 4.025 5.936 9.637 107.94 90.00 90.00
Fractional positions:
Sr (0.500, 0.500, 0.000)
Sr (0.500, 0.181, 0.361)
Sr (0.500, 0.819, 0.639)
Pb (0.000, 0.652, 0.305)
Pb (0.000, 0.348, 0.695)
Na (0.000, 0.000, 0.000)

---

No. 2
The following is a PBE calculation of an optimized crystal structure of Zn2HgGe, from Alexandria via LeMat-Bulk.

## Properties
As for the energy above the most stable polymorph in this dataset: 0.6 meV per atom. The density of states at the Fermi level is 0.8 states/eV/f.u. Its magnetization is 0.000 μB per formula unit. Its density is 8.19 Mg/m³. Its symmetry is No. 160. The formation energy is 187 meV per atom.

Lattice parameters (Å, degrees): 3.702 3.702 7.223 75.15 75.15 60.00
Fractional positions:
Hg (0.499, 0.499, 0.503)
Zn (0.258, 0.258, 0.226)
Zn (0.076, 0.076, 0.772)
Ge (0.667, 0.667, 0.999)

---

No. 3
The following is a PBE calculation of an optimized crystal structure of Pm3SeO7, from Alexandria via LeMat-Bulk.

## Properties
The density of states at the Fermi level is 2.5 states/eV/f.u. Its magnetization is 0.000 μB per formula unit. Its density is 6.55 Mg/m³. Its symmetry is No. 20. Its uncorrected formation energy is -2.53 eV per atom.

Lattice parameters (Å, degrees): 6.624 6.624 7.629 90.00 90.00 108.42
Fractional positions:
O (0.055, 0.945, 0.750)
O (0.674, 0.924, 0.980)
O (0.637, 0.363, 0.250)
O (0.370, 0.630, 0.250)
O (0.951, 0.708, 0.468)
O (0.363, 0.637, 0.750)
O (0.292, 0.049, 0.032)
O (0.049, 0.292, 0.968)
O (0.326, 0.076, 0.480)
O (0.076, 0.326, 0.520)
O (0.630, 0.370, 0.750)
O (0.708, 0.951, 0.532)
O (0.924, 0.674, 0.020)
O (0.945, 0.055, 0.250)
Pm (0.998, 0.534, 0.744)
Pm (0.466, 0.002, 0.756)
Pm (0.534, 0.998, 0.256)
Pm (0.540, 0.540, 0.000)
Pm (0.002, 0.466, 0.244)
Pm (0.460, 0.460, 0.500)
Se (0.008, 0.008, 0.000)
Se (0.992, 0.992, 0.500)

---

No. 4
The following is a PBE calculation of an optimized crystal structure of Ac16Ru3Rh5, from Alexandria via LeMat-Bulk.

## Properties
The density of states at the Fermi level is 14.2 states/eV/f.u. Its magnetization is 0.000 μB per formula unit. Its density is 8.29 Mg/m³. Its symmetry is No. 8. The formation energy is -424 meV per atom.

Lattice parameters (Å, degrees): 8.599 8.599 13.912 90.01 90.01 60.03
Fractional positions:
Ac (0.021, 0.492, 0.162)
Ac (0.831, 0.329, 0.403)
Ac (0.980, 0.513, 0.660)
Ac (0.511, 0.511, 0.660)
Ac (0.998, 0.998, 0.172)
Ac (0.492, 0.021, 0.162)
Ac (0.490, 0.490, 0.161)
Ac (0.670, 0.162, 0.904)
Ac (0.165, 0.165, 0.906)
Ac (0.329, 0.831, 0.403)
Ac (0.513, 0.980, 0.660)
Ac (0.162, 0.670, 0.904)
Ac (0.670, 0.670, 0.901)
Ac (0.999, 0.999, 0.671)
Ac (0.834, 0.834, 0.401)
Ac (0.336, 0.336, 0.400)
Rh (0.835, 0.334, 0.786)
Rh (0.332, 0.332, 0.020)
Rh (0.334, 0.835, 0.786)
Rh (0.166, 0.166, 0.286)
Rh (0.665, 0.665, 0.522)
Ru (0.835, 0.835, 0.785)
Ru (0.667, 0.167, 0.285)
Ru (0.167, 0.667, 0.285)

---

No. 5
The following is a PBE calculation of an optimized crystal structure of Zn2GaAg4, from Alexandria via LeMat-Bulk.

## Properties
As for the energy above the most stable polymorph in this dataset: 0.0 meV per atom. The density of states at the Fermi level is 1.3 states/eV/f.u. Its magnetization is 0.000 μB per formula unit. Its density is 8.44 Mg/m³. Its symmetry is No. 65. The formation energy is 17 meV per atom.

Lattice parameters (Å, degrees): 4.323 5.379 5.379 96.28 90.00 90.00
Fractional positions:
Zn (0.000, 0.283, 0.717)
Zn (0.000, 0.717, 0.283)
Ag (0.000, 0.798, 0.798)
Ag (0.500, 0.000, 0.500)
Ag (0.500, 0.500, 0.000)
Ag (0.000, 0.202, 0.202)
Ga (0.500, 0.500, 0.500)

---

No. 6
The following is a PBE calculation of an optimized crystal structure of ZrAg2Au, from Alexandria via LeMat-Bulk.

## Properties
As for the energy above the most stable polymorph in this dataset: 18.5 meV per atom. The density of states at the Fermi level is 1.6 states/eV/f.u. Its magnetization is 0.000 μB per formula unit. Its density is 10.95 Mg/m³. Its symmetry is No. 25. The formation energy is -171 meV per atom.

Lattice parameters (Å, degrees): 3.077 3.767 6.591 90.00 90.00 90.00
Fractional positions:
Au (0.000, 0.000, 0.496)
Zr (0.500, 0.500, 0.741)
Ag (0.500, 0.500, 0.248)
Ag (0.000, 0.000, 0.015)

---

No. 7
The following is a PBE calculation of an optimized crystal structure of NiAg2Cl, from Alexandria via LeMat-Bulk.

## Properties
As for the energy above the most stable polymorph in this dataset: 387.3 meV per atom. The density of states at the Fermi level is 7.3 states/eV/f.u. Its magnetization is 0.349 μB per formula unit. Its density is 7.42 Mg/m³. Its symmetry is No. 216. Its uncorrected formation energy is 0.43 eV per atom.

Lattice parameters (Å, degrees): 4.611 4.611 4.611 60.00 60.00 60.00
Each line ends with the local moment (μB).
Fractional positions:
Ag (0.250, 0.250, 0.250)  -0.01
Ag (0.000, 0.000, 0.000)  -0.01
Cl (0.500, 0.500, 0.500)  0.01
Ni (0.750, 0.750, 0.750)  0.39

---

No. 8
The following is a PBE calculation of an optimized crystal structure of SrAgRh, from Alexandria via LeMat-Bulk.

## Properties
As for the energy above the most stable polymorph in this dataset: 0.0 meV per atom. The density of states at the Fermi level is 2.4 states/eV/f.u. Its magnetization is 0.000 μB per formula unit. Its density is 7.70 Mg/m³. Its symmetry is No. 74. The formation energy is -229 meV per atom.

Lattice parameters (Å, degrees): 5.667 5.667 5.667 90.01 120.00 120.00
Fractional positions:
Sr (0.750, 0.883, 0.133)
Sr (0.250, 0.117, 0.867)
Rh (0.000, 0.500, 0.500)
Rh (0.500, 0.000, 0.500)
Ag (0.000, 0.500, 0.000)
Ag (0.500, 0.500, 0.500)